{
  "formula": "VInNiAg2",
  "functional": "PBE",
  "state": "relaxed",
  "lattice_angstrom": [[4.944, 0.000, 0.000], [0.000, 4.944, 0.000], [0.000, 0.000, 5.156]],
  "species": ["V", "In", "Ni", "Ag", "Ag"],
  "fractional_positions": [[0.000, 0.000, 0.000], [0.000, 0.000, 0.500], [0.500, 0.500, 0.500], [0.000, 0.500, 0.000], [0.500, 0.000, 0.000]],
  "dft_energy_ev_per_atom": -3.247,
  "ef_kj_per_mol_atoms": 137,
  "magnetic_moment_mub_per_fu": 3.700,
  "spacegroup": "No. 123"
}

---

{
  "formula": "RbMgCr2Ru",
  "functional": "PBE",
  "state": "relaxed",
  "lattice_angstrom": [[4.787, 0.000, 0.000], [0.000, 4.787, 0.000], [0.000, 0.000, 5.403]],
  "species": ["Rb", "Mg", "Cr", "Cr", "Ru"],
  "fractional_positions": [[0.000, 0.000, 0.000], [0.000, 0.000, 0.500], [0.000, 0.500, 0.500], [0.500, 0.000, 0.500], [0.500, 0.500, 0.000]],
  "dft_energy_ev_per_atom": -3.435,
  "ef_kj_per_mol_atoms": 268,
  "magnetic_moment_mub_per_fu": 1.720,
  "spacegroup": "No. 123"
}

---

{
  "formula": "AcDyMgAl",
  "functional": "PBE",
  "state": "relaxed",
  "lattice_angstrom": [[0.000, 3.859, 3.859], [3.859, 0.000, 3.859], [3.859, 3.859, 0.000]],
  "species": ["Ac", "Dy", "Mg", "Al"],
  "fractional_positions": [[0.000, 0.000, 0.000], [0.500, 0.500, 0.500], [0.250, 0.250, 0.250], [0.750, 0.750, 0.750]],
  "dft_energy_ev_per_atom": -3.682,
  "ef_kj_per_mol_atoms": -16,
  "magnetic_moment_mub_per_fu": 0.000,
  "spacegroup": "No. 216"
}

---

Please write out number 1 again, unchanged.
{
  "formula": "VInNiAg2",
  "functional": "PBE",
  "state": "relaxed",
  "lattice_angstrom": [[4.944, 0.000, 0.000], [0.000, 4.944, 0.000], [0.000, 0.000, 5.156]],
  "species": ["V", "In", "Ni", "Ag", "Ag"],
  "fractional_positions": [[0.000, 0.000, 0.000], [0.000, 0.000, 0.500], [0.500, 0.500, 0.500], [0.000, 0.500, 0.000], [0.500, 0.000, 0.000]],
  "dft_energy_ev_per_atom": -3.247,
  "ef_kj_per_mol_atoms": 137,
  "magnetic_moment_mub_per_fu": 3.700,
  "spacegroup": "No. 123"
}